[1]
Material: KUCoSe4
Method: DFT, GGA-PBE
State: optimized geometry

Cell lengths 6.8751, 5.8548, 9.2806 Å; angles 90.00, 106.07, 90.00 degrees
Each line ends with the local moment (μB).
Sites, in units of the cell vectors:
1 K 0.7501 0.7500 0.9483  0.01
2 K 0.2499 0.2500 0.0517  0.01
3 U 0.7353 0.7500 0.4488  -1.55
4 U 0.2647 0.2500 0.5512  -1.55
5 Co 0.2519 0.7500 0.3436  1.71
6 Co 0.7481 0.2500 0.6564  1.71
7 Se 0.0168 0.5080 0.7063  0.07
8 Se 0.9832 0.0080 0.2937  0.07
9 Se 0.9832 0.4920 0.2937  0.07
10 Se 0.0168 0.9920 0.7063  0.07
11 Se 0.4494 0.7500 0.1749  0.16
12 Se 0.5506 0.2500 0.8251  0.16
13 Se 0.4264 0.7500 0.5945  0.13
14 Se 0.5736 0.2500 0.4055  0.13

Formation energy from raw total energies = -0.858 eV/atom
Volume = 25.6 A^3/atom
Size of the total moment = 1.633 μB/cell


[2]
Material: SrLaTlSn
Method: DFT, GGA-PBE
State: optimized geometry

Cell lengths 5.6751, 5.6751, 5.6751 Å; angles 60.00, 60.00, 60.00 degrees
Sites, in units of the cell vectors:
1 Sr 0.0000 0.0000 0.0000
2 Tl 0.7500 0.7500 0.7500
3 Sn 0.2500 0.2500 0.2500
4 La 0.5000 0.5000 0.5000

Volume = 32.3 A^3/atom
ΔH_f (0 K) = -0.52 eV/atom
Size of the total moment = 0.000 μB/cell


[3]
Material: Li2TiOs
Method: DFT, GGA-PBE
State: optimized geometry

Cell lengths 4.1966, 4.1966, 4.1966 Å; angles 60.00, 60.00, 60.00 degrees
Sites, in units of the cell vectors:
1 Li 0.2500 0.2500 0.2500
2 Li 0.7500 0.7500 0.7500
3 Os 0.5000 0.5000 0.5000
4 Ti 0.0000 0.0000 0.0000

Volume = 13.1 A^3/atom
ΔH_f (0 K) = 0.38 eV/atom
Size of the total moment = 0.000 μB/cell


[4]
Material: La12Nd3Cd
Method: DFT, GGA-PBE
State: optimized geometry

Cell lengths 5.1992, 5.1992, 20.9655 Å; angles 90.00, 90.00, 90.00 degrees
Sites, in units of the cell vectors:
1 La 0.5000 0.5000 0.0000
2 La 0.5000 0.5000 0.2470
3 La 0.5000 0.5000 0.5000
4 La 0.5000 0.5000 0.7530
5 La 0.5000 0.0000 0.1211
6 La 0.5000 0.0000 0.3730
7 La 0.5000 0.0000 0.6270
8 La 0.5000 0.0000 0.8789
9 La 0.0000 0.5000 0.1211
10 La 0.0000 0.5000 0.3730
11 La 0.0000 0.5000 0.6270
12 La 0.0000 0.5000 0.8789
13 Nd 0.0000 0.0000 0.2461
14 Nd 0.0000 0.0000 0.5000
15 Nd 0.0000 0.0000 0.7539
16 Cd 0.0000 0.0000 0.0000

Volume = 35.4 A^3/atom
ΔH_f (0 K) = -0.02 eV/atom
Size of the total moment = 0.000 μB/cell


[5]
Material: La5Ir
Method: DFT, GGA-PBE
State: optimized geometry

Cell lengths 6.5283, 6.5283, 8.4564 Å; angles 72.98, 72.98, 34.89 degrees
Sites, in units of the cell vectors:
1 La 0.5946 0.5946 0.1730
2 La 0.2982 0.2982 0.3710
3 La 0.9721 0.9721 0.5564
4 La 0.6463 0.6463 0.7403
5 La 0.3495 0.3495 0.9383
6 Ir 0.9727 0.9727 0.0544

Volume = 32.7 A^3/atom
ΔH_f (0 K) = -0.24 eV/atom
Size of the total moment = 0.000 μB/cell


[6]
Material: TcP2PbS
Method: DFT, GGA-PBE
State: optimized geometry

Cell lengths 5.0610, 5.0319, 5.0610 Å; angles 90.00, 90.00, 90.00 degrees
Each line ends with the local moment (μB).
Sites, in units of the cell vectors:
1 Pb 0.0000 0.0000 0.0000  0.00
2 P 0.0000 0.0000 0.5000  -0.03
3 P 0.5000 0.0000 0.0000  -0.05
4 S 0.0000 0.5000 0.0000  -0.07
5 Tc 0.5000 0.5000 0.5000  -0.01

Formation energy from raw total energies = 2.012 eV/atom
Volume = 25.8 A^3/atom
Size of the total moment = 0.280 μB/cell


[7]
Material: Ac5Gd3H12
Method: DFT, GGA-PBE
State: optimized geometry

Cell lengths 12.1968, 12.1968, 12.1968 Å; angles 109.47, 109.47, 109.47 degrees
Each line ends with the local moment (μB).
Sites, in units of the cell vectors:
1 Gd 0.7500 0.3750 0.1250  7.12
2 Gd 0.8750 0.7500 0.1250  7.12
3 Gd 0.3750 0.7500 0.6250  7.12
4 Gd 0.2500 0.1250 0.3750  7.12
5 Gd 0.8750 0.1250 0.2500  7.12
6 Gd 0.3750 0.6250 0.2500  7.12
7 Gd 0.6250 0.3750 0.7500  7.12
8 Gd 0.1250 0.8750 0.7500  7.12
9 Gd 0.7500 0.8750 0.6250  7.12
10 Gd 0.6250 0.2500 0.3750  7.12
11 Gd 0.1250 0.2500 0.8750  7.12
12 Gd 0.2500 0.6250 0.8750  7.12
13 Ac 0.1250 0.3750 0.2500  0.04
14 Ac 0.0000 0.5000 0.0000  0.01
15 Ac 0.0000 0.0000 0.0000  0.01
16 Ac 0.3750 0.2500 0.1250  0.04
17 Ac 0.5000 0.0000 0.5000  0.01
18 Ac 0.5000 0.5000 0.0000  0.01
19 Ac 0.1250 0.7500 0.3750  0.04
20 Ac 0.7500 0.1250 0.8750  0.04
21 Ac 0.7500 0.6250 0.3750  0.04
22 Ac 0.3750 0.1250 0.7500  0.04
23 Ac 0.6250 0.8750 0.2500  0.04
24 Ac 0.5000 0.5000 0.5000  0.01
25 Ac 0.5000 0.0000 0.0000  0.01
26 Ac 0.0000 0.0000 0.5000  0.01
27 Ac 0.2500 0.3750 0.6250  0.04
28 Ac 0.2500 0.8750 0.1250  0.04
29 Ac 0.0000 0.5000 0.5000  0.01
30 Ac 0.8750 0.2500 0.6250  0.04
31 Ac 0.6250 0.7500 0.8750  0.04
32 Ac 0.8750 0.6250 0.7500  0.04
33 H 0.7337 0.1664 0.0805  -0.01
34 H 0.3468 0.5805 0.4140  -0.01
35 H 0.9195 0.3336 0.2663  -0.01
36 H 0.5805 0.2337 0.1664  -0.01
37 H 0.5672 0.7337 0.6532  -0.01
38 H 0.9195 0.5860 0.1532  -0.01
39 H 0.3468 0.7663 0.4328  -0.01
40 H 0.0860 0.9328 0.1664  -0.01
41 H 0.5860 0.9195 0.6532  -0.01
42 H 0.7337 0.5672 0.1532  -0.01
43 H 0.7663 0.4195 0.3336  -0.01
44 H 0.8468 0.9140 0.0805  -0.01
45 H 0.1664 0.7337 0.5805  -0.01
46 H 0.3336 0.4140 0.0672  -0.01
47 H 0.0672 0.9140 0.3336  -0.01
48 H 0.4328 0.1664 0.5860  -0.01
49 H 0.0672 0.1532 0.2337  -0.01
50 H 0.4195 0.6532 0.0860  -0.01
51 H 0.8468 0.9328 0.2663  -0.01
52 H 0.1664 0.4328 0.0860  -0.01
53 H 0.3336 0.9195 0.7663  -0.01
54 H 0.5860 0.6664 0.4328  -0.01
55 H 0.9140 0.8468 0.5805  -0.01
56 H 0.7663 0.3468 0.9328  -0.01
57 H 0.4140 0.3336 0.5672  -0.01
58 H 0.0860 0.1532 0.4195  -0.01
59 H 0.2337 0.6532 0.0672  -0.01
60 H 0.1532 0.0672 0.7337  -0.01
61 H 0.6664 0.0805 0.2337  -0.01
62 H 0.8336 0.5672 0.9140  -0.01
63 H 0.5805 0.3468 0.9140  -0.01
64 H 0.5672 0.8336 0.4140  -0.01
65 H 0.9328 0.8468 0.7663  -0.01
66 H 0.9328 0.0860 0.6664  -0.01
67 H 0.8336 0.2663 0.4195  -0.01
68 H 0.1532 0.0860 0.9195  -0.01
69 H 0.6664 0.5860 0.9328  -0.01
70 H 0.4140 0.0805 0.3468  -0.01
71 H 0.2663 0.4328 0.8468  -0.01
72 H 0.2337 0.5805 0.6664  -0.01
73 H 0.9140 0.0672 0.8336  -0.01
74 H 0.6532 0.2337 0.5672  -0.01
75 H 0.4195 0.7663 0.8336  -0.01
76 H 0.0805 0.4140 0.8468  -0.01
77 H 0.4328 0.2663 0.3468  -0.01
78 H 0.0805 0.6664 0.7337  -0.01
79 H 0.6532 0.4195 0.5860  -0.01
80 H 0.2663 0.8336 0.9195  -0.01

Volume = 17.5 A^3/atom
E_tot = -5.511 eV per atom
Size of the total moment = 89.321 μB/cell


[8]
Material: NbGeH2F
Method: DFT, GGA-PBE
State: optimized geometry

Cell lengths 3.5617, 5.4562, 3.5617 Å; angles 90.00, 90.00, 90.00 degrees
Sites, in units of the cell vectors:
1 H 0.0000 0.0000 0.5000
2 H 0.5000 0.0000 0.0000
3 Nb 0.0000 0.0000 0.0000
4 Ge 0.0000 0.5000 0.0000
5 F 0.5000 0.5000 0.5000

Volume = 13.8 A^3/atom
E_tot = -4.706 eV per atom
Size of the total moment = 0.000 μB/cell


[9]
Material: ReRhW
Method: DFT, GGA-PBE
State: optimized geometry

Cell lengths 4.9780, 4.9780, 4.9780 Å; angles 141.97, 141.97, 54.88 degrees
Sites, in units of the cell vectors:
1 Re 0.0109 0.0109 0.0000
2 Rh 0.3298 0.3298 0.0000
3 W 0.6594 0.6594 0.0000

Volume = 15.5 A^3/atom
ΔH_f (0 K) = 0.24 eV/atom
Size of the total moment = 0.000 μB/cell


[10]
Material: TiRe2SiIr
Method: DFT, GGA-PBE
State: optimized geometry

Cell lengths 4.3557, 4.4110, 4.3557 Å; angles 90.00, 90.00, 90.00 degrees
Sites, in units of the cell vectors:
1 Re 0.0000 0.0000 0.5000
2 Re 0.5000 0.0000 0.0000
3 Si 0.0000 0.0000 0.0000
4 Ir 0.5000 0.5000 0.5000
5 Ti 0.0000 0.5000 0.0000

Formation energy from raw total energies = 0.919 eV/atom
Volume = 16.7 A^3/atom
Size of the total moment = 0.000 μB/cell


[11]
Material: K2MnTe
Method: DFT, GGA-PBE
State: optimized geometry

Cell lengths 4.5715, 5.3321, 7.0559 Å; angles 67.80, 90.00, 90.00 degrees
Each line ends with the local moment (μB).
Sites, in units of the cell vectors:
1 K 0.0000 0.9841 0.9072  0.01
2 K 0.5000 0.2722 0.3293  0.01
3 Mn 0.0000 0.6830 0.5090  4.19
4 Te 0.5000 0.5607 0.7545  0.04

Formation energy from raw total energies = -0.134 eV/atom
Volume = 39.8 A^3/atom
Size of the total moment = 5.001 μB/cell


[12]
Material: Na3CaTi
Method: DFT, GGA-PBE
State: optimized geometry

Cell lengths 5.7849, 5.7849, 5.7849 Å; angles 90.00, 90.00, 90.00 degrees
Each line ends with the local moment (μB).
Sites, in units of the cell vectors:
1 Na 0.0000 0.5000 0.0000  0.03
2 Na 0.0000 0.0000 0.5000  0.02
3 Na 0.5000 0.0000 0.0000  0.03
4 Ca 0.5000 0.5000 0.5000  0.02
5 Ti 0.0000 0.0000 0.0000  2.14

Volume = 38.7 A^3/atom
ΔH_f (0 K) = 0.88 eV/atom
Size of the total moment = 3.425 μB/cell